# 1
# CeTh2Au (PBE, optimized geometry)
data_CeTh2Au
_chemical_formula_sum 'Ce1 Th2 Au1'
_cell_length_a 5.5609
_cell_length_b 5.5609
_cell_length_c 3.4753
_cell_angle_alpha 90.00
_cell_angle_beta 90.00
_cell_angle_gamma 90.00
_space_group_name_H-M_alt 'P 4/m m m'
_space_group_IT_number 123
_space_group_name_Hall '-P 4 2'
loop_
_atom_site_label
_atom_site_fract_x
_atom_site_fract_y
_atom_site_fract_z
_atom_site_occupancy
Ce1 0.0000 0.0000 0.0000 1
Th1 0.0000 0.5000 0.5000 1
Au1 0.5000 0.5000 0.0000 1
# DOS at the Fermi energy	7.25	states/eV/cell
# calculated volume	26.9	Å³/atom
# calculated formation energy	-95	kJ/mol of formula units
# E_tot	-25.0	eV for the cell shown

---

# 2
# TlGeBiTe3 (PBE, optimized geometry)
data_TlGeBiTe3
_chemical_formula_sum 'Tl2 Ge2 Bi2 Te6'
_cell_length_a 9.3062
_cell_length_b 4.6415
_cell_length_c 10.6798
_cell_angle_alpha 90.00
_cell_angle_beta 106.43
_cell_angle_gamma 90.00
_space_group_name_H-M_alt 'P 1 21/m 1'
_space_group_IT_number 11
loop_
_space_group_symop_operation_xyz
'x,y,z'
'-x,-y,-z'
'-x,y+1/2,-z'
'x,-y+1/2,z'
loop_
_atom_site_label
_atom_site_fract_x
_atom_site_fract_y
_atom_site_fract_z
_atom_site_occupancy
Tl1 0.2038 0.2500 0.2366 1
Ge1 0.1011 0.2500 0.6201 1
Bi1 0.3177 0.7500 0.8873 1
Te1 0.0935 0.2500 0.9018 1
Te2 0.2033 0.7500 0.5069 1
Te3 0.4644 0.7500 0.1718 1
# DOS at the Fermi energy	0.65	states/eV/cell
# calculated volume	36.9	Å³/atom
# formation energy without anion corrections	-0.90	eV/f.u.
# E_tot	-42.4	eV for the cell shown

---

# 3
# Ac8BiTe4Se3 (PBE, optimized geometry)
data_Ac8BiTe4Se3
_chemical_formula_sum 'Ac24 Bi3 Te12 Se9'
_cell_length_a 9.2740
_cell_length_b 9.2740
_cell_length_c 23.0509
_cell_angle_alpha 90.00
_cell_angle_beta 90.00
_cell_angle_gamma 120.00
_space_group_name_H-M_alt 'R -3 m'
_space_group_IT_number 166
_space_group_name_Hall '-R 3 2"'
loop_
_atom_site_label
_atom_site_fract_x
_atom_site_fract_y
_atom_site_fract_z
_atom_site_occupancy
Ac1 0.0000 0.0000 0.2415 1
Ac2 0.0133 0.5066 0.7558 1
Bi1 0.0000 0.0000 0.5000 1
Te1 0.0000 0.0000 0.0000 1
Te2 0.0000 0.5000 0.0000 1
Se1 0.0000 0.5000 0.5000 1
# DOS at the Fermi energy	22.74	states/eV/cell
# calculated volume	35.8	Å³/atom
# formation energy without anion corrections	-25.05	eV/f.u.
# E_tot	-254.5	eV for the cell shown

---

# 4
# KRb3Ag (PBE, optimized geometry)
data_KRb3Ag
_chemical_formula_sum 'K1 Rb3 Ag1'
_cell_length_a 7.1010
_cell_length_b 7.1010
_cell_length_c 7.1010
_cell_angle_alpha 90.00
_cell_angle_beta 90.00
_cell_angle_gamma 90.00
_space_group_name_H-M_alt 'P m -3 m'
_space_group_IT_number 221
_space_group_name_Hall '-P 4 2 3'
loop_
_atom_site_label
_atom_site_fract_x
_atom_site_fract_y
_atom_site_fract_z
_atom_site_occupancy
K1 0.0000 0.0000 0.0000 1
Rb1 0.0000 0.5000 0.5000 1
Ag1 0.5000 0.5000 0.5000 1
# DOS at the Fermi energy	5.31	states/eV/cell
# calculated volume	71.6	Å³/atom
# calculated formation energy	29	kJ/mol of formula units
# E_tot	-6.6	eV for the cell shown